(1)
# KCeSnBr6 (PBE, optimized geometry)
# N(E_F) = 15.9 states/eV/cell
# DFT total energy = -66.80 eV for the cell shown
# volume = 893.7 Å³ per cell
# total moment = 0.111 μB per atom
data_KCeSnBr6
_chemical_formula_sum 'K2 Ce2 Sn2 Br12'
_symmetry_space_group_name_H-M 'P 1'
_symmetry_Int_Tables_number 1
_symmetry_space_group_name_Hall 'P 1'
_cell_length_a 10.9273
_cell_length_b 10.5807
_cell_length_c 10.8441
_cell_angle_alpha 119.20
_cell_angle_beta 120.25
_cell_angle_gamma 90.00
loop_
_atom_site_label
_atom_site_type_symbol
_atom_site_fract_x
_atom_site_fract_y
_atom_site_fract_z
K1 K 0.7853 0.5353 0.5706
K2 K 0.2147 0.4647 0.4294
Ce1 Ce 0.5000 0.0000 0.5000
Ce2 Ce 0.0000 0.0000 0.5000
Sn1 Sn 0.5000 0.5000 0.0000
Sn2 Sn 0.5000 0.0000 0.0000
Br1 Br 0.4181 0.6681 0.8363
Br2 Br 0.8208 0.0708 0.6417
Br3 Br 0.8308 0.0871 0.2606
Br4 Br 0.4298 0.6735 0.2606
Br5 Br 0.4298 0.0871 0.2606
Br6 Br 0.8308 0.6735 0.2606
Br7 Br 0.5819 0.3319 0.1637
Br8 Br 0.1792 0.9292 0.3583
Br9 Br 0.1692 0.9129 0.7394
Br10 Br 0.5702 0.3265 0.7394
Br11 Br 0.5702 0.9129 0.7394
Br12 Br 0.1692 0.3265 0.7394



(2)
# Y4CSe2Cl (PBE, optimized geometry)
# N(E_F) = 2.7 states/eV/cell
# DFT total energy = -54.87 eV for the cell shown
# volume = 175.0 Å³ per cell
# total moment = 0.000 μB per atom
data_Y4CSe2Cl
_chemical_formula_sum 'Y4 C1 Se2 Cl1'
_symmetry_space_group_name_H-M 'P 1'
_symmetry_Int_Tables_number 1
_symmetry_space_group_name_Hall 'P 1'
_cell_length_a 3.8606
_cell_length_b 6.8724
_cell_length_c 6.9428
_cell_angle_alpha 71.77
_cell_angle_beta 90.00
_cell_angle_gamma 90.00
loop_
_atom_site_label
_atom_site_type_symbol
_atom_site_fract_x
_atom_site_fract_y
_atom_site_fract_z
Y1 Y 0.0000 0.7248 0.7184
Y2 Y 0.0000 0.2752 0.2816
Y3 Y 0.5000 0.7076 0.2946
Y4 Y 0.5000 0.2924 0.7054
C1 C 0.0000 0.5000 0.5000
Se1 Se 0.0000 0.0000 0.0000
Se2 Se 0.5000 0.0000 0.5000
Cl1 Cl 0.5000 0.5000 0.0000



(3)
# SClO (PBE, optimized geometry)
# N(E_F) = 1.9 states/eV/cell
# DFT total energy = -20.97 eV for the cell shown
# volume = 146.7 Å³ per cell
# total moment = 0.332 μB per atom
data_SClO
_chemical_formula_sum 'S2 Cl2 O2'
_symmetry_space_group_name_H-M 'P 1'
_symmetry_Int_Tables_number 1
_symmetry_space_group_name_Hall 'P 1'
_cell_length_a 3.3302
_cell_length_b 3.4458
_cell_length_c 13.0025
_cell_angle_alpha 100.25
_cell_angle_beta 87.68
_cell_angle_gamma 90.60
loop_
_atom_site_label
_atom_site_type_symbol
_atom_site_fract_x
_atom_site_fract_y
_atom_site_fract_z
S1 S 0.5106 0.2018 0.4281
S2 S 0.4894 0.7982 0.5719
Cl1 Cl 0.5347 0.0940 0.2676
Cl2 Cl 0.4653 0.9060 0.7324
O1 O 0.9576 0.5228 0.9557
O2 O 0.0424 0.4772 0.0443



(4)
# TbHo4Tm6 (PBE, optimized geometry)
# N(E_F) = 36.9 states/eV/cell
# DFT total energy = -96.74 eV for the cell shown
# energy relative to the lowest polymorph listed for this composition = 0.0 meV/atom
# volume = 674.4 Å³ per cell
# total moment = 0.000 μB per atom
data_TbHo4Tm6
_chemical_formula_sum 'Tb2 Ho8 Tm12'
_symmetry_space_group_name_H-M 'P 1'
_symmetry_Int_Tables_number 1
_symmetry_space_group_name_Hall 'P 1'
_cell_length_a 5.5491
_cell_length_b 5.5388
_cell_length_c 25.3517
_cell_angle_alpha 90.00
_cell_angle_beta 90.00
_cell_angle_gamma 120.06
loop_
_atom_site_label
_atom_site_type_symbol
_atom_site_fract_x
_atom_site_fract_y
_atom_site_fract_z
Tb1 Tb 0.8319 0.6638 0.2500
Tb2 Tb 0.1681 0.3362 0.7500
Ho1 Ho 0.8340 0.6680 0.5418
Ho2 Ho 0.4978 0.9956 0.1215
Ho3 Ho 0.1660 0.3320 0.4582
Ho4 Ho 0.5022 0.0044 0.8785
Ho5 Ho 0.8340 0.6680 0.9582
Ho6 Ho 0.1660 0.3320 0.0418
Ho7 Ho 0.5022 0.0044 0.6215
Ho8 Ho 0.4978 0.9956 0.3785
Tm1 Tm 0.5000 0.0000 0.0000
Tm2 Tm 0.5000 0.0000 0.5000
Tm3 Tm 0.1649 0.3297 0.3185
Tm4 Tm 0.8351 0.6703 0.6815
Tm5 Tm 0.8351 0.6703 0.8185
Tm6 Tm 0.1649 0.3297 0.1815
Tm7 Tm 0.8316 0.6632 0.3967
Tm8 Tm 0.1684 0.3368 0.6033
Tm9 Tm 0.1684 0.3368 0.8967
Tm10 Tm 0.8316 0.6632 0.1033
Tm11 Tm 0.4985 0.9969 0.2500
Tm12 Tm 0.5015 0.0031 0.7500